w) VASP calculation (PBE-GGA) on NdDyNiRh after structural relaxation.

Structure (CIF):
```
data_NdDyNiRh
_cell_length_a 6.938
_cell_length_b 6.938
_cell_length_c 6.938
_cell_angle_alpha 90.00
_cell_angle_beta 90.00
_cell_angle_gamma 90.00
_space_group_name_H-M_alt 'F -4 3 m'
_space_group_IT_number 216
_space_group_name_Hall 'F -4 2 3'
loop_
_atom_site_label
_atom_site_type_symbol
_atom_site_fract_x
_atom_site_fract_y
_atom_site_fract_z
Nd1 Nd 0.000 0.000 0.000
Dy1 Dy 0.000 0.000 0.500
Ni1 Ni 0.250 0.250 0.250
Rh1 Rh 0.250 0.250 0.750
```

---

x) VASP calculation (PBE-GGA) on NdDyNiRh after structural relaxation.

Structure (CIF):
```
data_NdDyNiRh
_cell_length_a 4.125
_cell_length_b 3.892
_cell_length_c 10.814
_cell_angle_alpha 90.00
_cell_angle_beta 90.00
_cell_angle_gamma 90.00
_space_group_name_H-M_alt 'A m m 2'
_space_group_IT_number 38
loop_
_space_group_symop_operation_xyz
'x,y,z'
'-x,-y,z'
'-x,y,z'
'x,-y,z'
'x,y+1/2,z+1/2'
'-x,-y+1/2,z+1/2'
'-x,y+1/2,z+1/2'
'x,-y+1/2,z+1/2'
loop_
_atom_site_label
_atom_site_type_symbol
_atom_site_fract_x
_atom_site_fract_y
_atom_site_fract_z
Nd1 Nd 0.000 0.000 0.000
Dy1 Dy 0.500 0.000 0.719
Ni1 Ni 0.500 0.000 0.432
Rh1 Rh 0.000 0.000 0.276
```

---

Q: Which of them is the most stable? A: x).

---

w) VASP calculation (PBE-GGA) on NdDyNiRu after structural relaxation.

Structure (CIF):
```
data_NdDyNiRu
_cell_length_a 6.903
_cell_length_b 6.903
_cell_length_c 6.903
_cell_angle_alpha 90.00
_cell_angle_beta 90.00
_cell_angle_gamma 90.00
_space_group_name_H-M_alt 'F -4 3 m'
_space_group_IT_number 216
_space_group_name_Hall 'F -4 2 3'
loop_
_atom_site_label
_atom_site_type_symbol
_atom_site_fract_x
_atom_site_fract_y
_atom_site_fract_z
Nd1 Nd 0.000 0.000 0.000
Dy1 Dy 0.000 0.000 0.500
Ni1 Ni 0.250 0.250 0.750
Ru1 Ru 0.250 0.250 0.250
```

---

x) VASP calculation (PBE-GGA) on NdDyNiRu after structural relaxation.

Structure (CIF):
```
data_NdDyNiRu
_cell_length_a 4.042
_cell_length_b 4.020
_cell_length_c 10.720
_cell_angle_alpha 90.00
_cell_angle_beta 90.00
_cell_angle_gamma 90.00
_space_group_name_H-M_alt 'A m m 2'
_space_group_IT_number 38
loop_
_space_group_symop_operation_xyz
'x,y,z'
'-x,-y,z'
'-x,y,z'
'x,-y,z'
'x,y+1/2,z+1/2'
'-x,-y+1/2,z+1/2'
'-x,y+1/2,z+1/2'
'x,-y+1/2,z+1/2'
loop_
_atom_site_label
_atom_site_type_symbol
_atom_site_fract_x
_atom_site_fract_y
_atom_site_fract_z
Nd1 Nd 0.000 0.000 0.000
Dy1 Dy 0.500 0.000 0.286
Ni1 Ni 0.500 0.000 0.580
Ru1 Ru 0.000 0.000 0.718
```

---

Q: Which of them is the most stable? A: x).

---

w) VASP calculation (PBE-GGA) on Nd2DyO after structural relaxation.

Structure (CIF):
```
data_Nd2DyO
_cell_length_a 3.6382
_cell_length_b 3.6382
_cell_length_c 27.9683
_cell_angle_alpha 90.00
_cell_angle_beta 90.00
_cell_angle_gamma 120.00
_space_group_name_H-M_alt 'R -3 m'
_space_group_IT_number 166
_space_group_name_Hall '-R 3 2"'
loop_
_atom_site_label
_atom_site_type_symbol
_atom_site_fract_x
_atom_site_fract_y
_atom_site_fract_z
Nd1 Nd 0.0000 0.0000 0.1183
Dy1 Dy 0.0000 0.0000 0.0000
O1 O 0.0000 0.0000 0.5000
```

---

x) VASP calculation (PBE-GGA) on Nd2DyO after structural relaxation.

Structure (CIF):
```
data_Nd2DyO
_cell_length_a 3.259
_cell_length_b 3.259
_cell_length_c 9.104
_cell_angle_alpha 90.00
_cell_angle_beta 90.00
_cell_angle_gamma 90.00
_space_group_name_H-M_alt 'P 4/m m m'
_space_group_IT_number 123
_space_group_name_Hall '-P 4 2'
loop_
_atom_site_label
_atom_site_type_symbol
_atom_site_fract_x
_atom_site_fract_y
_atom_site_fract_z
Nd1 Nd 0.000 0.000 0.172
Dy1 Dy 0.500 0.500 0.500
O1 O 0.500 0.500 0.000
```

---

Q: Which of them is the most stable? A: w).

---

w) VASP calculation (PBE-GGA) on NdDy2O after structural relaxation.

Structure (CIF):
```
data_NdDy2O
_cell_length_a 3.202
_cell_length_b 3.202
_cell_length_c 8.868
_cell_angle_alpha 90.00
_cell_angle_beta 90.00
_cell_angle_gamma 90.00
_space_group_name_H-M_alt 'P 4/m m m'
_space_group_IT_number 123
_space_group_name_Hall '-P 4 2'
loop_
_atom_site_label
_atom_site_type_symbol
_atom_site_fract_x
_atom_site_fract_y
_atom_site_fract_z
Nd1 Nd 0.000 0.000 0.000
Dy1 Dy 0.500 0.500 0.327
O1 O 0.000 0.000 0.500
```

---

x) VASP calculation (PBE-GGA) on NdDy2O after structural relaxation.

Structure (CIF):
```
data_NdDy2O
_cell_length_a 3.4904
_cell_length_b 3.4904
_cell_length_c 28.3319
_cell_angle_alpha 90.00
_cell_angle_beta 90.00
_cell_angle_gamma 120.00
_space_group_name_H-M_alt 'R -3 m'
_space_group_IT_number 166
_space_group_name_Hall '-R 3 2"'
loop_
_atom_site_label
_atom_site_type_symbol
_atom_site_fract_x
_atom_site_fract_y
_atom_site_fract_z
Nd1 Nd 0.0000 0.0000 0.0000
Dy1 Dy 0.0000 0.0000 0.1203
O1 O 0.0000 0.0000 0.5000
```

---

Q: Which of them is the most stable? A: x).

---

w) VASP calculation (PBE-GGA) on NdDyO2 after structural relaxation.

Structure (CIF):
```
data_NdDyO2
_cell_length_a 3.6158
_cell_length_b 3.6158
_cell_length_c 20.2183
_cell_angle_alpha 90.00
_cell_angle_beta 90.00
_cell_angle_gamma 120.00
_space_group_name_H-M_alt 'R -3 m'
_space_group_IT_number 166
_space_group_name_Hall '-R 3 2"'
loop_
_atom_site_label
_atom_site_type_symbol
_atom_site_fract_x
_atom_site_fract_y
_atom_site_fract_z
Nd1 Nd 0.0000 0.0000 0.0000
Dy1 Dy 0.0000 0.0000 0.5000
O1 O 0.0000 0.0000 0.1147
```

---

x) VASP calculation (PBE-GGA) on NdDyO2 after structural relaxation.

Structure (CIF):
```
data_NdDyO2
_cell_length_a 3.4580
_cell_length_b 3.4580
_cell_length_c 18.0929
_cell_angle_alpha 90.00
_cell_angle_beta 90.00
_cell_angle_gamma 120.00
_space_group_name_H-M_alt 'R 3 m'
_space_group_IT_number 160
_space_group_name_Hall 'R 3 -2"'
loop_
_atom_site_label
_atom_site_type_symbol
_atom_site_fract_x
_atom_site_fract_y
_atom_site_fract_z
Nd1 Nd 0.0000 0.0000 0.0000
Dy1 Dy 0.0000 0.0000 0.1773
O1 O 0.0000 0.0000 0.5751
O2 O 0.0000 0.0000 0.7686
```

---

Q: Which of them is the most stable? A: w).

---

w) VASP calculation (PBE-GGA) on Nd2DyOs after structural relaxation.

Structure (CIF):
```
data_Nd2DyOs
_cell_length_a 7.457
_cell_length_b 9.507
_cell_length_c 6.464
_cell_angle_alpha 90.00
_cell_angle_beta 90.00
_cell_angle_gamma 90.00
_space_group_name_H-M_alt 'P n m a'
_space_group_IT_number 62
loop_
_space_group_symop_operation_xyz
'x,y,z'
'-x,-y,-z'
'-x+1/2,-y,z+1/2'
'x+1/2,y,-z+1/2'
'x+1/2,-y+1/2,-z+1/2'
'-x+1/2,y+1/2,z+1/2'
'-x,y+1/2,-z'
'x,-y+1/2,z'
loop_
_atom_site_label
_atom_site_type_symbol
_atom_site_fract_x
_atom_site_fract_y
_atom_site_fract_z
Nd1 Nd 0.176 0.064 0.171
Dy1 Dy 0.043 0.250 0.641
Os1 Os 0.116 0.750 0.964
```

---

x) VASP calculation (PBE-GGA) on Nd2DyOs after structural relaxation.

Structure (CIF):
```
data_Nd2DyOs
_cell_length_a 3.5854
_cell_length_b 3.5854
_cell_length_c 32.8173
_cell_angle_alpha 90.00
_cell_angle_beta 90.00
_cell_angle_gamma 120.00
_space_group_name_H-M_alt 'R -3 m'
_space_group_IT_number 166
_space_group_name_Hall '-R 3 2"'
loop_
_atom_site_label
_atom_site_type_symbol
_atom_site_fract_x
_atom_site_fract_y
_atom_site_fract_z
Nd1 Nd 0.0000 0.0000 0.1059
Dy1 Dy 0.0000 0.0000 0.0000
Os1 Os 0.0000 0.0000 0.5000
```

---

y) VASP calculation (PBE-GGA) on Nd2DyOs after structural relaxation.

Structure (CIF):
```
data_Nd2DyOs
_cell_length_a 4.090
_cell_length_b 12.079
_cell_length_c 9.258
_cell_angle_alpha 90.00
_cell_angle_beta 90.00
_cell_angle_gamma 90.00
_space_group_name_H-M_alt 'C m c m'
_space_group_IT_number 63
_space_group_name_Hall '-C 2c 2'
loop_
_atom_site_label
_atom_site_type_symbol
_atom_site_fract_x
_atom_site_fract_y
_atom_site_fract_z
Nd1 Nd 0.000 0.142 0.067
Dy1 Dy 0.000 0.420 0.250
Os1 Os 0.000 0.239 0.750
```

---

Q: Which of them is the most stable? A: w).

---

w) VASP calculation (PBE-GGA) on Nd2DyPb2 after structural relaxation.

Structure (CIF):
```
data_Nd2DyPb2
_cell_length_a 8.304
_cell_length_b 8.304
_cell_length_c 4.577
_cell_angle_alpha 90.00
_cell_angle_beta 90.00
_cell_angle_gamma 90.00
_space_group_name_H-M_alt 'P 4/m b m'
_space_group_IT_number 127
_space_group_name_Hall '-P 4 2ab'
loop_
_atom_site_label
_atom_site_type_symbol
_atom_site_fract_x
_atom_site_fract_y
_atom_site_fract_z
Nd1 Nd 0.168 0.332 0.000
Dy1 Dy 0.000 0.000 0.500
Pb1 Pb 0.136 0.636 0.500
```

---

x) VASP calculation (PBE-GGA) on Nd2DyPb2 after structural relaxation.

Structure (CIF):
```
data_Nd2DyPb2
_cell_length_a 10.206
_cell_length_b 9.010
_cell_length_c 7.256
_cell_angle_alpha 90.00
_cell_angle_beta 90.02
_cell_angle_gamma 90.00
_space_group_name_H-M_alt 'P 1 21/c 1'
_space_group_IT_number 14
loop_
_space_group_symop_operation_xyz
'x,y,z'
'-x,-y,-z'
'-x,y+1/2,-z+1/2'
'x,-y+1/2,z+1/2'
loop_
_atom_site_label
_atom_site_type_symbol
_atom_site_fract_x
_atom_site_fract_y
_atom_site_fract_z
Nd1 Nd 0.091 0.249 0.000
Nd2 Nd 0.321 0.749 0.500
Dy1 Dy 0.387 0.091 0.252
Pb1 Pb 0.114 0.557 0.751
Pb2 Pb 0.347 0.074 0.749
```

---

Q: Which of them is the most stable? A: w).

---

w) VASP calculation (PBE-GGA) on NdDy3Pb2 after structural relaxation.

Structure (CIF):
```
data_NdDy3Pb2
_cell_length_a 18.363
_cell_length_b 4.628
_cell_length_c 9.633
_cell_angle_alpha 90.00
_cell_angle_beta 113.48
_cell_angle_gamma 90.00
_space_group_name_H-M_alt 'C 1 2/m 1'
_space_group_IT_number 12
loop_
_space_group_symop_operation_xyz
'x,y,z'
'-x,-y,-z'
'-x,y,-z'
'x,-y,z'
'x+1/2,y+1/2,z'
'-x+1/2,-y+1/2,-z'
'-x+1/2,y+1/2,-z'
'x+1/2,-y+1/2,z'
loop_
_atom_site_label
_atom_site_type_symbol
_atom_site_fract_x
_atom_site_fract_y
_atom_site_fract_z
Nd1 Nd 0.115 0.000 0.130
Dy1 Dy 0.058 0.000 0.687
Dy2 Dy 0.144 0.500 0.485
Dy3 Dy 0.192 0.500 0.890
Pb1 Pb 0.009 0.500 0.847
Pb2 Pb 0.245 0.000 0.712
```

---

x) VASP calculation (PBE-GGA) on NdDy3Pb2 after structural relaxation.

Structure (CIF):
```
data_NdDy3Pb2
_cell_length_a 4.581
_cell_length_b 4.581
_cell_length_c 8.683
_cell_angle_alpha 90.00
_cell_angle_beta 90.00
_cell_angle_gamma 90.00
_space_group_name_H-M_alt 'P -4 m 2'
_space_group_IT_number 115
loop_
_space_group_symop_operation_xyz
'x,y,z'
'y,-x,-z'
'-x,-y,z'
'-y,x,-z'
'-x,y,z'
'-y,-x,-z'
'x,-y,z'
'y,x,-z'
loop_
_atom_site_label
_atom_site_type_symbol
_atom_site_fract_x
_atom_site_fract_y
_atom_site_fract_z
Nd1 Nd 0.000 0.000 0.000
Dy1 Dy 0.000 0.500 0.344
Dy2 Dy 0.500 0.500 0.000
Pb1 Pb 0.000 0.500 0.711
```

---

Q: Which of them is the most stable? A: x).

---

w) VASP calculation (PBE-GGA) on Nd2DyPb3 after structural relaxation.

Structure (CIF):
```
data_Nd2DyPb3
_cell_length_a 5.029
_cell_length_b 15.355
_cell_length_c 9.156
_cell_angle_alpha 90.00
_cell_angle_beta 90.00
_cell_angle_gamma 90.00
_space_group_name_H-M_alt 'C m m m'
_space_group_IT_number 65
_space_group_name_Hall '-C 2 2'
loop_
_atom_site_label
_atom_site_type_symbol
_atom_site_fract_x
_atom_site_fract_y
_atom_site_fract_z
Nd1 Nd 0.000 0.000 0.000
Nd2 Nd 0.000 0.000 0.500
Nd3 Nd 0.000 0.333 0.000
Dy1 Dy 0.000 0.332 0.500
Pb1 Pb 0.000 0.168 0.255
Pb2 Pb 0.000 0.500 0.254
```

---

x) VASP calculation (PBE-GGA) on Nd2DyPb3 after structural relaxation.

Structure (CIF):
```
data_Nd2DyPb3
_cell_length_a 9.546
_cell_length_b 14.627
_cell_length_c 5.927
_cell_angle_alpha 90.00
_cell_angle_beta 115.98
_cell_angle_gamma 90.00
_space_group_name_H-M_alt 'C 1 2/c 1'
_space_group_IT_number 15
loop_
_space_group_symop_operation_xyz
'x,y,z'
'-x,-y,-z'
'-x,y,-z+1/2'
'x,-y,z+1/2'
'x+1/2,y+1/2,z'
'-x+1/2,-y+1/2,-z'
'-x+1/2,y+1/2,-z+1/2'
'x+1/2,-y+1/2,z+1/2'
loop_
_atom_site_label
_atom_site_type_symbol
_atom_site_fract_x
_atom_site_fract_y
_atom_site_fract_z
Nd1 Nd 0.000 0.082 0.250
Nd2 Nd 0.000 0.248 0.750
Dy1 Dy 0.000 0.416 0.250
Pb1 Pb 0.244 0.419 0.006
Pb2 Pb 0.250 0.250 0.500
```

---

Q: Which of them is the most stable? A: w).

---

w) VASP calculation (PBE-GGA) on Nd3DyPb2 after structural relaxation.

Structure (CIF):
```
data_Nd3DyPb2
_cell_length_a 4.670
_cell_length_b 4.670
_cell_length_c 8.867
_cell_angle_alpha 90.00
_cell_angle_beta 90.00
_cell_angle_gamma 90.00
_space_group_name_H-M_alt 'P -4 m 2'
_space_group_IT_number 115
loop_
_space_group_symop_operation_xyz
'x,y,z'
'y,-x,-z'
'-x,-y,z'
'-y,x,-z'
'-x,y,z'
'-y,-x,-z'
'x,-y,z'
'y,x,-z'
loop_
_atom_site_label
_atom_site_type_symbol
_atom_site_fract_x
_atom_site_fract_y
_atom_site_fract_z
Nd1 Nd 0.000 0.000 0.000
Nd2 Nd 0.000 0.500 0.654
Dy1 Dy 0.500 0.500 0.000
Pb1 Pb 0.000 0.500 0.281
```

---

x) VASP calculation (PBE-GGA) on Nd3DyPb2 after structural relaxation.

Structure (CIF):
```
data_Nd3DyPb2
_cell_length_a 4.998
_cell_length_b 16.448
_cell_length_c 4.518
_cell_angle_alpha 90.00
_cell_angle_beta 90.00
_cell_angle_gamma 90.00
_space_group_name_H-M_alt 'C m m m'
_space_group_IT_number 65
_space_group_name_Hall '-C 2 2'
loop_
_atom_site_label
_atom_site_type_symbol
_atom_site_fract_x
_atom_site_fract_y
_atom_site_fract_z
Nd1 Nd 0.000 0.000 0.000
Nd2 Nd 0.000 0.324 0.000
Dy1 Dy 0.000 0.500 0.500
Pb1 Pb 0.000 0.149 0.500
```

---

Q: Which of them is the most stable? A: w).

---

w) VASP calculation (PBE-GGA) on Nd2DyPd after structural relaxation.

Structure (CIF):
```
data_Nd2DyPd
_cell_length_a 3.702
_cell_length_b 3.702
_cell_length_c 8.432
_cell_angle_alpha 90.00
_cell_angle_beta 90.00
_cell_angle_gamma 90.00
_space_group_name_H-M_alt 'P 4/m m m'
_space_group_IT_number 123
_space_group_name_Hall '-P 4 2'
loop_
_atom_site_label
_atom_site_type_symbol
_atom_site_fract_x
_atom_site_fract_y
_atom_site_fract_z
Nd1 Nd 0.000 0.000 0.205
Dy1 Dy 0.500 0.500 0.500
Pd1 Pd 0.500 0.500 0.000
```

---

x) VASP calculation (PBE-GGA) on Nd2DyPd after structural relaxation.

Structure (CIF):
```
data_Nd2DyPd
_cell_length_a 3.7810
_cell_length_b 3.7810
_cell_length_c 29.5654
_cell_angle_alpha 90.00
_cell_angle_beta 90.00
_cell_angle_gamma 120.00
_space_group_name_H-M_alt 'R -3 m'
_space_group_IT_number 166
_space_group_name_Hall '-R 3 2"'
loop_
_atom_site_label
_atom_site_type_symbol
_atom_site_fract_x
_atom_site_fract_y
_atom_site_fract_z
Nd1 Nd 0.0000 0.0000 0.2333
Dy1 Dy 0.0000 0.0000 0.0000
Pd1 Pd 0.0000 0.0000 0.5000
```

---

y) VASP calculation (PBE-GGA) on Nd2DyPd after structural relaxation.

Structure (CIF):
```
data_Nd2DyPd
_cell_length_a 3.873
_cell_length_b 12.134
_cell_length_c 9.907
_cell_angle_alpha 90.00
_cell_angle_beta 90.00
_cell_angle_gamma 90.00
_space_group_name_H-M_alt 'C m c m'
_space_group_IT_number 63
_space_group_name_Hall '-C 2c 2'
loop_
_atom_site_label
_atom_site_type_symbol
_atom_site_fract_x
_atom_site_fract_y
_atom_site_fract_z
Nd1 Nd 0.000 0.135 0.060
Dy1 Dy 0.000 0.425 0.250
Pd1 Pd 0.000 0.263 0.750
```

---

z) VASP calculation (PBE-GGA) on Nd2DyPd after structural relaxation.

Structure (CIF):
```
data_Nd2DyPd
_cell_length_a 5.115
_cell_length_b 5.136
_cell_length_c 8.746
_cell_angle_alpha 90.00
_cell_angle_beta 90.08
_cell_angle_gamma 90.00
_space_group_name_H-M_alt 'C 1 m 1'
_space_group_IT_number 8
loop_
_space_group_symop_operation_xyz
'x,y,z'
'x,-y,z'
'x+1/2,y+1/2,z'
'x+1/2,-y+1/2,z'
loop_
_atom_site_label
_atom_site_type_symbol
_atom_site_fract_x
_atom_site_fract_y
_atom_site_fract_z
Nd1 Nd 0.000 0.000 0.000
Nd2 Nd 0.001 0.500 0.306
Dy1 Dy 0.499 0.000 0.696
Pd1 Pd 0.499 0.500 0.523
```

---

Q: Which of them is the most stable? A: y).